LiTi2V3O12: relaxed, PBE with a Hubbard U.

The structure in extended XYZ format:
```
72
Lattice="9.1552 0.0000 0.0000 0.0322 9.1955 0.0000 0.0887 0.0203 12.7599" Properties=species:S:1:pos:R:3 pbc="T T T"
Li 0.0000 0.0000 0.0000
Li 0.5054 2.7836 7.0497
Li 1.9098 5.7201 0.9486
Li 2.8715 1.1506 12.1275
Ti 2.3357 3.9648 11.2139
Ti 2.3634 7.9367 8.1462
Ti 2.4073 8.5291 1.8940
Ti 2.4273 3.3389 4.8346
Ti 6.8790 8.4099 11.2126
Ti 6.8585 3.3472 8.1989
Ti 6.8848 3.8606 1.8195
Ti 6.9431 7.8693 4.8953
V 0.3916 1.3185 9.8519
V 0.9904 0.0793 5.1690
V 1.0078 2.6009 1.5287
V 3.6149 4.6282 7.8727
V 3.6847 7.2101 11.5527
V 4.3483 5.9169 3.2462
V 4.8831 1.2984 3.4222
V 5.6410 2.5585 11.5709
V 5.6578 9.2066 7.8945
V 8.2274 4.6030 5.1502
V 8.2103 7.1221 1.4981
V 8.9466 5.9059 9.6584
O 0.7755 4.8398 10.6672
O 0.7879 4.4654 4.9773
O 0.7750 7.4435 1.2205
O 0.8423 6.7075 8.5486
O 1.2324 1.7579 5.5238
O 1.2697 0.1844 8.8717
O 1.4328 0.9762 0.9585
O 1.5610 8.8770 3.5409
O 1.5911 2.1841 10.8323
O 1.5623 3.7928 0.3833
O 1.7806 2.9190 3.0262
O 1.8471 8.2911 6.3537
O 2.6230 3.6715 6.7796
O 3.0499 7.5938 10.0324
O 3.1040 8.4148 12.6801
O 3.1055 5.6253 12.0238
O 3.1158 6.7898 2.2767
O 3.1699 4.2358 9.5112
O 3.3627 6.3043 7.6108
O 3.4942 4.7641 4.2721
O 3.8416 2.0563 4.6087
O 3.9234 2.8276 11.7849
O 3.9272 9.0769 7.9800
O 3.8816 0.3145 2.3296
O 5.3165 4.2726 7.6388
O 5.2978 6.9286 4.2315
O 5.3572 5.1136 2.1292
O 5.4428 7.2553 11.5363
O 5.7148 2.4534 2.4596
O 5.8891 0.8546 11.7575
O 6.0197 0.3064 4.2058
O 6.1378 1.6431 7.6225
O 6.1839 3.0438 10.0043
O 6.2117 8.1743 6.6076
O 6.3875 8.6961 9.3834
O 6.4088 3.4527 0.0260
O 7.4316 4.1170 3.7132
O 7.4686 8.1945 0.3161
O 7.7355 7.5872 3.0630
O 7.7779 4.9594 8.8135
O 7.7649 6.2476 5.4785
O 7.8332 3.5425 6.5083
O 7.9327 5.4286 1.2633
O 8.1369 7.0422 10.6845
O 8.4480 2.6855 1.6570
O 8.4983 8.9536 5.3087
O 8.5281 0.5097 10.9921
O 8.6863 2.3549 8.7719
```

Output
- ΔE to the lowest computed polymorph: 0.134 eV per formula unit
- Mass density: 2.767 Mg/m³
- Space-group type: P1
- Size of the total moment: 0.00 μB per formula unit
- Total energy: -7.809 eV per atom